Entry 1:
# PBE Na2Li2Cd, relaxed
# ρ	2.18	Mg/m³
# spin magnetization	0.0000	μB per atom
# D(E_F)	2.3	states/eV/f.u.
# energy	-1.484	eV per atom
# V	26.3	Å³ per atom
data_Na2Li2Cd
_chemical_formula_sum 'Na4 Li4 Cd2'
_cell_length_a 7.2416
_cell_length_b 7.2416
_cell_length_c 5.0134
_cell_angle_alpha 90.00
_cell_angle_beta 90.00
_cell_angle_gamma 90.00
_space_group_name_H-M_alt 'P 4/m b m'
_space_group_IT_number 127
_space_group_name_Hall '-P 4 2ab'
loop_
_atom_site_label
_atom_site_fract_x
_atom_site_fract_y
_atom_site_fract_z
Na1 0.1778 0.3222 0.0000
Li1 0.1404 0.6404 0.5000
Cd1 0.0000 0.0000 0.5000

---

Entry 2:
# PBE MgCdAu, relaxed
# ρ	9.54	Mg/m³
# spin magnetization	0.0000	μB per atom
# D(E_F)	0.5	states/eV/f.u.
# energy	-2.291	eV per atom
# V	19.4	Å³ per atom
data_MgCdAu
_chemical_formula_sum 'Mg2 Cd2 Au2'
_cell_length_a 3.5680
_cell_length_b 3.5680
_cell_length_c 9.1233
_cell_angle_alpha 90.00
_cell_angle_beta 90.00
_cell_angle_gamma 90.00
_space_group_name_H-M_alt 'I 4 m m'
_space_group_IT_number 107
_space_group_name_Hall 'I 4 -2'
loop_
_atom_site_label
_atom_site_fract_x
_atom_site_fract_y
_atom_site_fract_z
Mg1 0.0000 0.0000 0.0000
Cd1 0.0000 0.0000 0.6781
Au1 0.0000 0.0000 0.3527

---

Entry 3:
# PBE PuGa4, relaxed
# ρ	5.06	Mg/m³
# spin magnetization	1.4878	μB per atom
# D(E_F)	12.8	states/eV/f.u.
# energy	-4.452	eV per atom
# V	34.3	Å³ per atom
data_PuGa4
_chemical_formula_sum 'Pu1 Ga4'
_cell_length_a 5.5579
_cell_length_b 5.5579
_cell_length_c 5.5579
_cell_angle_alpha 90.00
_cell_angle_beta 90.00
_cell_angle_gamma 90.00
_space_group_name_H-M_alt 'P m -3 m'
_space_group_IT_number 221
_space_group_name_Hall '-P 4 2 3'
loop_
_atom_site_label
_atom_site_fract_x
_atom_site_fract_y
_atom_site_fract_z
Pu1 0.0000 0.0000 0.0000
Ga1 0.0000 0.0000 0.5000
Ga2 0.5000 0.5000 0.5000

---

Entry 4:
# PBE Nd2SmTe2As2, relaxed
# ρ	6.05	Mg/m³
# spin magnetization	0.0000	μB per atom
# D(E_F)	5.5	states/eV/f.u.
# energy	-5.229	eV per atom
# ΔE_f (raw)	-0.9664	eV per atom
# V	33.1	Å³ per atom
data_Nd2SmTe2As2
_chemical_formula_sum 'Nd4 Sm2 Te4 As4'
_cell_length_a 5.4245
_cell_length_b 5.4245
_cell_length_c 15.7560
_cell_angle_alpha 90.00
_cell_angle_beta 90.00
_cell_angle_gamma 90.00
_space_group_name_H-M_alt 'I 4/m m m'
_space_group_IT_number 139
_space_group_name_Hall '-I 4 2'
loop_
_atom_site_label
_atom_site_fract_x
_atom_site_fract_y
_atom_site_fract_z
Nd1 0.0000 0.0000 0.1118
Sm1 0.0000 0.0000 0.5000
Te1 0.0000 0.0000 0.3051
As1 0.0000 0.5000 0.0000

---

Entry 5:
# PBE CeTlSe2, relaxed
# ρ	7.73	Mg/m³
# spin magnetization	0.2315	μB per atom
# D(E_F)	5.2	states/eV/f.u.
# energy	-5.005	eV per atom
# ΔE_f (raw)	-1.1877	eV per atom
# V	27.0	Å³ per atom
data_CeTlSe2
_chemical_formula_sum 'Ce1 Tl1 Se2'
_cell_length_a 3.7154
_cell_length_b 3.7154
_cell_length_c 7.8169
_cell_angle_alpha 90.00
_cell_angle_beta 90.00
_cell_angle_gamma 90.00
_space_group_name_H-M_alt 'P 4/m m m'
_space_group_IT_number 123
_space_group_name_Hall '-P 4 2'
loop_
_atom_site_label
_atom_site_fract_x
_atom_site_fract_y
_atom_site_fract_z
Ce1 0.0000 0.0000 0.0000
Tl1 0.0000 0.0000 0.5000
Se1 0.5000 0.5000 0.2110

---

Entry 6:
# PBE MgCrBr2, relaxed
# ρ	3.97	Mg/m³
# spin magnetization	1.1409	μB per atom
# D(E_F)	2.9	states/eV/f.u.
# energy	-3.408	eV per atom
# ΔE_f (raw)	0.2331	eV per atom
# V	24.7	Å³ per atom
data_MgCrBr2
_chemical_formula_sum 'Mg4 Cr4 Br8'
_cell_length_a 7.3400
_cell_length_b 7.3400
_cell_length_c 7.3400
_cell_angle_alpha 90.00
_cell_angle_beta 90.00
_cell_angle_gamma 90.00
_space_group_name_H-M_alt 'F -4 3 m'
_space_group_IT_number 216
_space_group_name_Hall 'F -4 2 3'
loop_
_atom_site_label
_atom_site_fract_x
_atom_site_fract_y
_atom_site_fract_z
Mg1 0.0000 0.0000 0.0000
Cr1 0.2500 0.2500 0.7500
Br1 0.0000 0.0000 0.5000
Br2 0.2500 0.2500 0.2500

---

Entry 7:
# PBE NbRu2Rh4W, relaxed
# ρ	11.47	Mg/m³
# spin magnetization	0.0000	μB per atom
# D(E_F)	8.8	states/eV/f.u.
# energy	-8.367	eV per atom
# V	16.1	Å³ per atom
data_NbRu2Rh4W
_chemical_formula_sum 'Nb2 Ru4 Rh8 W2'
_cell_length_a 6.9171
_cell_length_b 6.9171
_cell_length_c 5.3897
_cell_angle_alpha 90.00
_cell_angle_beta 90.00
_cell_angle_gamma 90.00
_space_group_name_H-M_alt 'I -4 2 m'
_space_group_IT_number 121
_space_group_name_Hall 'I -4 2'
loop_
_atom_site_label
_atom_site_fract_x
_atom_site_fract_y
_atom_site_fract_z
Nb1 0.0000 0.0000 0.0000
Ru1 0.0000 0.5000 0.2500
Rh1 0.2436 0.2436 0.5417
W1 0.0000 0.0000 0.5000

---

Entry 8:
# PBE K2LaZn4, relaxed
# ρ	2.66	Mg/m³
# spin magnetization	0.0000	μB per atom
# D(E_F)	5.9	states/eV/f.u.
# energy	-1.378	eV per atom
# V	42.7	Å³ per atom
data_K2LaZn4
_chemical_formula_sum 'K4 La2 Zn8'
_cell_length_a 5.8152
_cell_length_b 5.8152
_cell_length_c 17.6962
_cell_angle_alpha 90.00
_cell_angle_beta 90.00
_cell_angle_gamma 90.00
_space_group_name_H-M_alt 'I 4/m m m'
_space_group_IT_number 139
_space_group_name_Hall '-I 4 2'
loop_
_atom_site_label
_atom_site_fract_x
_atom_site_fract_y
_atom_site_fract_z
K1 0.0000 0.0000 0.1240
La1 0.0000 0.0000 0.5000
Zn1 0.0000 0.0000 0.3286
Zn2 0.0000 0.5000 0.0000